Material: YMg2Rh2
Method: DFT, GGA-PBE
State: optimized geometry

Output
ΔE to the lowest computed polymorph ... 26 kJ/mol of formula units
Calculated total energy ... -5.357 eV per atom

Cell: 6.6233 6.6233 6.6233 Å, 144.36 144.36 51.29°
Closest atoms and distances in Å follow each position.
Element x y z (fractional)
Y (0.0000, 0.0000, 0.0000)  8 Rh 3.13
Mg (0.2500, 0.7500, 0.5000)  4 Rh 2.66, 4 Mg 2.87
Mg (0.7500, 0.2500, 0.5000)  4 Rh 2.66, 4 Mg 2.87
Rh (0.3939, 0.3939, 0.0000)  1 Rh 2.54, 4 Mg 2.66
Rh (0.6061, 0.6061, 0.0000)  1 Rh 2.54, 4 Mg 2.66